# 1
Below is an optimized crystal structure of U2Se2O, with properties calculated at the GGA-PBE level.

a b c (Å): 2.9372 2.9372 14.2139
angles (deg): 90.00 90.00 90.00
Last column: magnetic moment on the atom in μB.
Atoms (fractional coordinates):
U1 0.5000 0.5000 0.8555  1.96
Se1 0.5000 0.5000 0.6549  -0.05
O1 0.5000 0.5000 0.0000  -0.07
Se2 0.5000 0.5000 0.3451  -0.05
U2 0.5000 0.5000 0.1445  1.96

Values from the calculation:
**E_form (uncorrected)**: -0.389 eV/atom
**Space-group type**: P4/mmm
**Final energy**: -7.29 eV/atom
**Offset from the most stable computed form**: 1340 meV/atom

# 2
Below is an optimized crystal structure of CePm3Ge4, with properties calculated at the GGA-PBE level.

a b c (Å): 4.1795 6.5319 8.8730
angles (deg): 111.59 103.62 90.00
Last column: magnetic moment on the atom in μB.
Atoms (fractional coordinates):
Ge1 0.6305 0.4395 0.2609  0.00
Pm1 0.0000 0.5000 0.0000  0.01
Pm2 0.8063 0.8064 0.6127  0.00
Ge2 0.3695 0.5605 0.7391  0.00
Pm3 0.1937 0.1936 0.3873  0.00
Ce1 0.5000 0.0000 0.0000  0.53
Ge3 0.6305 0.8213 0.2609  0.00
Ge4 0.3695 0.1787 0.7391  0.00

Values from the calculation:
**Space-group type**: Immm
**Final energy**: -5.45 eV/atom
**Energy relative to the elements**: -0.62 eV/atom

# 3
Below is an optimized crystal structure of LaCr2Cd, with properties calculated at the GGA-PBE level.

a b c (Å): 5.1232 5.1232 5.9023
angles (deg): 65.05 65.05 39.65
Atoms (fractional coordinates):
Cr1 0.5001 0.5001 0.3632
La1 0.7500 0.7500 0.7500
Cr2 0.9999 0.9999 0.1368
Cd1 0.2500 0.2500 0.2500

Values from the calculation:
**Space-group type**: C2/m
**Final energy**: -5.70 eV/atom
**Energy relative to the elements**: 0.57 eV/atom

# 4
Below is an optimized crystal structure of Mn5Ir3, with properties calculated at the GGA-PBE level.

a b c (Å): 7.4058 7.4056 4.7298
angles (deg): 90.00 90.00 60.06
Last column: magnetic moment on the atom in μB.
Atoms (fractional coordinates):
Mn1 0.6668 0.6667 0.5000  1.95
Mn2 0.7751 0.9999 0.7500  3.17
Mn3 0.3333 0.3333 0.0000  1.95
Mn4 0.2249 0.0001 0.2500  3.17
Mn5 0.9999 0.7751 0.2500  3.17
Mn6 0.0001 0.2249 0.7500  3.17
Mn7 0.6668 0.6667 0.0000  1.95
Ir1 0.9999 0.4041 0.2500  -0.08
Ir2 0.4041 0.9999 0.7500  -0.08
Mn8 0.7750 0.2251 0.2500  3.17
Ir3 0.5960 0.0001 0.2500  -0.08
Ir4 0.0001 0.5960 0.7500  -0.08
Mn9 0.3333 0.3333 0.5000  1.95
Ir5 0.5962 0.4039 0.7500  -0.08
Ir6 0.4039 0.5962 0.2500  -0.08
Mn10 0.2251 0.7750 0.7500  3.17

Values from the calculation:
**Space-group type**: Cmcm
**Final energy**: -8.96 eV/atom
**Offset from the most stable computed form**: 233 meV/atom
**Energy relative to the elements**: 0.09 eV/atom

# 5
Below is an optimized crystal structure of CsIn4GaPb2, with properties calculated at the GGA-PBE level.

a b c (Å): 5.4811 5.4811 11.0295
angles (deg): 75.61 75.61 60.00
Atoms (fractional coordinates):
In1 0.5886 0.5886 0.2342
Ga1 0.5000 0.5000 0.5000
In2 0.4114 0.4114 0.7658
Pb1 0.2334 0.2334 0.2999
Cs1 0.0000 0.0000 0.0000
In3 0.1340 0.1340 0.5980
In4 0.8660 0.8660 0.4020
Pb2 0.7666 0.7666 0.7001

Values from the calculation:
**Space-group type**: R-3m
**Final energy**: -2.80 eV/atom
**Energy relative to the elements**: -0.02 eV/atom

# 6
Below is an optimized crystal structure of KSb, with properties calculated at the GGA-PBE level.

a b c (Å): 3.6354 3.6354 5.7966
angles (deg): 90.00 90.00 120.00
Atoms (fractional coordinates):
Sb1 0.6667 0.3333 0.5000
K1 0.0000 0.0000 0.0000

Values from the calculation:
**E_form (uncorrected)**: -0.128 eV/atom
**Space-group type**: P-6m2
**Final energy**: -2.74 eV/atom
**Offset from the most stable computed form**: 312 meV/atom

final energy of number 3 (LaCr2Cd)?
-5.70 eV/atom

Among the records above, which one has the lowest final energy?
Mn5Ir3